# CsTe2Se3 (PBE-GGA, optimized geometry)
data_CsTe2Se3
_chemical_formula_sum 'Cs2 Te4 Se6'
_cell_length_a 8.792
_cell_length_b 8.792
_cell_length_c 7.781
_cell_angle_alpha 90.00
_cell_angle_beta 90.00
_cell_angle_gamma 94.05
_space_group_name_H-M_alt 'P 1'
_space_group_IT_number 1
_space_group_name_Hall 'P 1'
loop_
_atom_site_label
_atom_site_fract_x
_atom_site_fract_y
_atom_site_fract_z
Cs1 0.234 0.766 0.750
Cs2 0.766 0.234 0.250
Te1 0.322 0.322 0.000
Te2 0.322 0.322 0.500
Te3 0.678 0.678 0.000
Te4 0.678 0.678 0.500
Se1 0.160 0.171 0.750
Se2 0.171 0.160 0.250
Se3 0.486 0.514 0.250
Se4 0.514 0.486 0.750
Se5 0.829 0.840 0.750
Se6 0.840 0.829 0.250
# Formation energy from raw total energies   -0.32 eV per atom
# ρ   3.46 Mg/m³
# Electronic total energy   -3.25 eV per atom